[1]
Na2LiYF6: relaxed, PBE.

Unit cell a=5.9074 b=5.9074 c=5.9074 alpha=60.00 beta=60.00 gamma=60.00
Element x y z (fractional)
Na (0.2500, 0.2500, 0.2500)
Na (0.7500, 0.7500, 0.7500)
Li (0.0000, 0.0000, 0.0000)
Y (0.5000, 0.5000, 0.5000)
F (0.2413, 0.2413, 0.7587)
F (0.2413, 0.7587, 0.2413)
F (0.2413, 0.7587, 0.7587)
F (0.7587, 0.2413, 0.2413)
F (0.7587, 0.2413, 0.7587)
F (0.7587, 0.7587, 0.2413)

DFT total energy	-54.19	eV/f.u.
E_form (uncorrected)	-3.194	eV/atom
ρ	2.914	g/cm³
E above lowest polymorph	101	meV/atom

[2]
Na2LiYF6: relaxed, PBE.

Unit cell a=5.5616 b=5.7114 c=9.8921 alpha=90.00 beta=120.09 gamma=90.00
Element x y z (fractional)
Na (0.1991, 0.0563, 0.2401)
Na (0.1991, 0.4437, 0.7401)
Na (0.8009, 0.5563, 0.2599)
Na (0.8009, 0.9437, 0.7599)
Li (0.0000, 0.0000, 0.5000)
Li (0.0000, 0.5000, 0.0000)
Y (0.5000, 0.0000, 0.0000)
Y (0.5000, 0.5000, 0.5000)
F (0.1317, 0.2153, 0.9363)
F (0.1317, 0.2847, 0.4363)
F (0.2074, 0.7050, 0.9203)
F (0.2074, 0.7950, 0.4203)
F (0.4056, 0.0673, 0.7594)
F (0.4056, 0.4327, 0.2594)
F (0.5944, 0.5673, 0.7406)
F (0.5944, 0.9327, 0.2406)
F (0.7926, 0.2050, 0.5797)
F (0.7926, 0.2950, 0.0797)
F (0.8683, 0.7153, 0.5637)
F (0.8683, 0.7847, 0.0637)

DFT total energy	-55.19	eV/f.u.
E_form (uncorrected)	-3.295	eV/atom
ρ	3.125	g/cm³
E above lowest polymorph	0	meV/atom

[3]
NaLiYb2F8: relaxed, PBE.

Unit cell a=6.7204 b=6.7204 c=7.1091 alpha=90.00 beta=90.00 gamma=76.96
Element x y z (fractional)
Na (0.1598, 0.8402, 0.7500)
Na (0.8402, 0.1598, 0.2500)
Li (0.5000, 0.5000, 0.0000)
Li (0.5000, 0.5000, 0.5000)
Yb (0.0502, 0.5755, 0.2500)
Yb (0.4245, 0.9498, 0.2500)
Yb (0.5755, 0.0502, 0.7500)
Yb (0.9498, 0.4245, 0.7500)
F (0.1077, 0.8923, 0.2500)
F (0.1628, 0.5630, 0.5504)
F (0.1628, 0.5630, 0.9496)
F (0.1913, 0.2451, 0.2500)
F (0.2451, 0.1913, 0.7500)
F (0.4132, 0.5868, 0.2500)
F (0.4370, 0.8372, 0.5504)
F (0.4370, 0.8372, 0.9496)
F (0.5630, 0.1628, 0.0504)
F (0.5630, 0.1628, 0.4496)
F (0.5868, 0.4132, 0.7500)
F (0.7549, 0.8087, 0.2500)
F (0.8087, 0.7549, 0.7500)
F (0.8372, 0.4370, 0.0504)
F (0.8372, 0.4370, 0.4496)
F (0.8923, 0.1077, 0.7500)

DFT total energy	-60.45	eV/f.u.
E_form (uncorrected)	-3.266	eV/atom
ρ	5.606	g/cm³

[4]
Na3Li3ZnF8: relaxed, PBE.

Unit cell a=6.3691 b=6.3691 c=6.3691 alpha=57.66 beta=57.66 gamma=57.66
Element x y z (fractional)
Na (0.0000, 0.5000, 0.5000)
Na (0.5000, 0.0000, 0.5000)
Na (0.5000, 0.5000, 0.0000)
Li (0.0000, 0.0000, 0.5000)
Li (0.0000, 0.5000, 0.0000)
Li (0.5000, 0.0000, 0.0000)
Zn (0.5000, 0.5000, 0.5000)
F (0.2410, 0.2410, 0.2410)
F (0.2480, 0.7325, 0.7325)
F (0.2675, 0.2675, 0.7520)
F (0.2675, 0.7520, 0.2675)
F (0.7325, 0.2480, 0.7325)
F (0.7325, 0.7325, 0.2480)
F (0.7520, 0.2675, 0.2675)
F (0.7590, 0.7590, 0.7590)

DFT total energy	-66.63	eV/f.u.
E_form (uncorrected)	-2.712	eV/atom
ρ	2.951	g/cm³

[5]
NaLiZn2F8: relaxed, PBE.

Unit cell a=4.8188 b=4.8414 c=6.4745 alpha=86.16 beta=86.20 gamma=85.33
Element x y z (fractional)
Na (0.0000, 0.0000, 0.0000)
Li (0.0000, 0.0000, 0.5000)
Zn (0.4968, 0.4969, 0.2554)
Zn (0.5032, 0.5031, 0.7446)
F (0.2074, 0.7837, 0.7307)
F (0.2103, 0.7870, 0.2703)
F (0.3108, 0.3070, 0.4892)
F (0.3249, 0.3209, 0.9865)
F (0.6751, 0.6791, 0.0135)
F (0.6892, 0.6930, 0.5108)
F (0.7897, 0.2130, 0.7297)
F (0.7926, 0.2163, 0.2693)

DFT total energy	-45.68	eV/f.u.
E_form (uncorrected)	-2.078	eV/atom
ρ	3.464	g/cm³

[6]
NaLi3Zn4F12: relaxed, PBE.

Unit cell a=6.6660 b=6.6660 c=6.6660 alpha=109.47 beta=109.47 gamma=109.47
Element x y z (fractional)
Na (0.0000, 0.0000, 0.0000)
Li (0.0000, 0.5000, 0.5000)
Li (0.5000, 0.0000, 0.5000)
Li (0.5000, 0.5000, 0.0000)
Zn (0.0000, 0.0000, 0.5000)
Zn (0.0000, 0.5000, 0.0000)
Zn (0.5000, 0.0000, 0.0000)
Zn (0.5000, 0.5000, 0.5000)
F (0.1335, 0.3093, 0.8242)
F (0.1758, 0.4852, 0.3093)
F (0.1758, 0.8665, 0.6907)
F (0.3093, 0.1758, 0.4852)
F (0.3093, 0.8242, 0.1335)
F (0.4852, 0.3093, 0.1758)
F (0.5148, 0.6907, 0.8242)
F (0.6907, 0.1758, 0.8665)
F (0.6907, 0.8242, 0.5148)
F (0.8242, 0.1335, 0.3093)
F (0.8242, 0.5148, 0.6907)
F (0.8665, 0.6907, 0.1758)

DFT total energy	-85.16	eV/f.u.
E_form (uncorrected)	-2.528	eV/atom
ρ	3.885	g/cm³

[7]
NaLi2ZnF6: relaxed, PBE.

Unit cell a=6.7082 b=6.7082 c=5.5156 alpha=95.46 beta=95.46 gamma=90.13
Element x y z (fractional)
Na (0.0860, 0.9140, 0.7500)
Na (0.9140, 0.0860, 0.2500)
Li (0.2301, 0.4100, 0.6952)
Li (0.4100, 0.2301, 0.1952)
Li (0.5900, 0.7699, 0.8048)
Li (0.7699, 0.5900, 0.3048)
Zn (0.2748, 0.7252, 0.2500)
Zn (0.7252, 0.2748, 0.7500)
F (0.0070, 0.2317, 0.6394)
F (0.1676, 0.6265, 0.9259)
F (0.2317, 0.0070, 0.1394)
F (0.2826, 0.4501, 0.3641)
F (0.3735, 0.8324, 0.5741)
F (0.4501, 0.2826, 0.8641)
F (0.5499, 0.7174, 0.1359)
F (0.6265, 0.1676, 0.4259)
F (0.7174, 0.5499, 0.6359)
F (0.7683, 0.9930, 0.8606)
F (0.8324, 0.3735, 0.0741)
F (0.9930, 0.7683, 0.3606)

DFT total energy	-41.81	eV/f.u.
E_form (uncorrected)	-2.416	eV/atom
ρ	2.920	g/cm³

[8]
NaLiZn2F6: relaxed, PBE.

Unit cell a=7.3205 b=7.3205 c=5.9972 alpha=105.16 beta=105.16 gamma=97.22
Element x y z (fractional)
Na (0.0985, 0.9015, 0.7500)
Na (0.9015, 0.0985, 0.2500)
Li (0.1813, 0.8187, 0.2500)
Li (0.8187, 0.1813, 0.7500)
Zn (0.2575, 0.4398, 0.8246)
Zn (0.4398, 0.2575, 0.3246)
Zn (0.5602, 0.7425, 0.6754)
Zn (0.7425, 0.5602, 0.1754)
F (0.0574, 0.2035, 0.6771)
F (0.1484, 0.6552, 0.9360)
F (0.2035, 0.0574, 0.1771)
F (0.3297, 0.4465, 0.5269)
F (0.3448, 0.8516, 0.5640)
F (0.4465, 0.3297, 0.0269)
F (0.5535, 0.6703, 0.9731)
F (0.6552, 0.1484, 0.4360)
F (0.6703, 0.5535, 0.4731)
F (0.7965, 0.9426, 0.8229)
F (0.8516, 0.3448, 0.0640)
F (0.9426, 0.7965, 0.3229)

DFT total energy	-42.03	eV/f.u.
E_form (uncorrected)	-2.502	eV/atom
ρ	3.116	g/cm³

[9]
NaLi2ZrF8: relaxed, PBE.

Unit cell a=6.4772 b=6.4772 c=6.4772 alpha=132.03 beta=132.03 gamma=70.18
Element x y z (fractional)
Na (0.0000, 0.0000, 0.0000)
Li (0.5000, 0.5000, 0.0000)
Li (0.7500, 0.2500, 0.5000)
Zr (0.2500, 0.7500, 0.5000)
F (0.0024, 0.0288, 0.4057)
F (0.2774, 0.7099, 0.1585)
F (0.2901, 0.4486, 0.5675)
F (0.4034, 0.9976, 0.0265)
F (0.5514, 0.1189, 0.8415)
F (0.6231, 0.5966, 0.5943)
F (0.8811, 0.7226, 0.4325)
F (0.9712, 0.3769, 0.9735)

DFT total energy	-64.57	eV/f.u.
E_form (uncorrected)	-2.992	eV/atom
ρ	3.165	g/cm³

[10]
Li2NbF5: relaxed, PBE.

Unit cell a=2.8735 b=11.5160 c=5.4275 alpha=90.00 beta=90.00 gamma=90.00
Element x y z (fractional)
Li (0.2500, 0.0861, 0.1479)
Li (0.2500, 0.4139, 0.1479)
Li (0.7500, 0.5861, 0.8521)
Li (0.7500, 0.9139, 0.8521)
Nb (0.2500, 0.7500, 0.2826)
Nb (0.7500, 0.2500, 0.7174)
F (0.2500, 0.1425, 0.4739)
F (0.2500, 0.2500, 0.0270)
F (0.2500, 0.3575, 0.4739)
F (0.2500, 0.5832, 0.1124)
F (0.2500, 0.9168, 0.1124)
F (0.7500, 0.0832, 0.8876)
F (0.7500, 0.4168, 0.8876)
F (0.7500, 0.6425, 0.5261)
F (0.7500, 0.7500, 0.9730)
F (0.7500, 0.8575, 0.5261)

DFT total energy	-44.57	eV/f.u.
E_form (uncorrected)	-2.665	eV/atom
ρ	3.731	g/cm³

[11]
Li3NbF7: relaxed, PBE.

Unit cell a=5.1103 b=5.1103 c=5.7402 alpha=109.49 beta=109.49 gamma=99.24
Element x y z (fractional)
Li (0.0000, 0.0000, 0.0000)
Li (0.1940, 0.6684, 0.3398)
Li (0.6684, 0.1940, 0.3398)
Nb (0.4895, 0.4895, 0.8862)
F (0.1141, 0.4399, 0.5773)
F (0.3155, 0.8054, 0.0645)
F (0.3329, 0.3329, 0.1188)
F (0.4399, 0.1141, 0.5773)
F (0.6767, 0.6767, 0.6919)
F (0.8054, 0.3155, 0.0645)
F (0.8362, 0.8362, 0.2130)

DFT total energy	-60.91	eV/f.u.
E_form (uncorrected)	-2.909	eV/atom
ρ	3.230	g/cm³

[12]
LiNb2F: relaxed, PBE.

Unit cell a=8.1592 b=8.1592 c=8.1592 alpha=145.08 beta=145.08 gamma=50.21
Element x y z (fractional)
Li (0.3750, 0.6250, 0.7500)
Li (0.6250, 0.3750, 0.2500)
Nb (0.0000, 0.0000, 0.0000)
Nb (0.0000, 0.0000, 0.5000)
Nb (0.0000, 0.5000, 0.0000)
Nb (0.5000, 0.0000, 0.5000)
F (0.1250, 0.8750, 0.2500)
F (0.8750, 0.1250, 0.7500)

DFT total energy	-22.12	eV/f.u.
E_form (uncorrected)	0.450	eV/atom
ρ	3.971	g/cm³
E above lowest polymorph	110	meV/atom